[1]
{
  "formula": "ZnNiPb2",
  "functional": "PBE-GGA",
  "state": "relaxed",
  "sg": "C2/m, No. 12",
  "lattice": [[6.357, 0.000, 0.000], [0.000, 3.695, 0.000], [-2.068, 0.000, 7.738]],
  "species": ["Zn", "Zn", "Ni", "Ni", "Pb", "Pb", "Pb", "Pb"],
  "fractional_positions": [[0.000, 0.000, 0.000], [0.500, 0.500, 0.000], [0.000, 0.500, 0.500], [0.500, 0.000, 0.500], [0.237, 0.000, 0.715], [0.263, 0.500, 0.285], [0.737, 0.500, 0.715], [0.763, 0.000, 0.285]]
}

[2]
{
  "formula": "ZnNiPb2",
  "functional": "PBE-GGA",
  "state": "relaxed",
  "sg": "F-43m, No. 216",
  "lattice": [[7.115, 0.000, 0.000], [0.000, 7.115, 0.000], [0.000, 0.000, 7.115]],
  "species": ["Zn", "Zn", "Zn", "Zn", "Ni", "Ni", "Ni", "Ni", "Pb", "Pb", "Pb", "Pb", "Pb", "Pb", "Pb", "Pb"],
  "fractional_positions": [[0.000, 0.000, 0.000], [0.000, 0.500, 0.500], [0.500, 0.000, 0.500], [0.500, 0.500, 0.000], [0.250, 0.250, 0.750], [0.250, 0.750, 0.250], [0.750, 0.250, 0.250], [0.750, 0.750, 0.750], [0.000, 0.000, 0.500], [0.000, 0.500, 0.000], [0.250, 0.250, 0.250], [0.250, 0.750, 0.750], [0.500, 0.000, 0.000], [0.500, 0.500, 0.500], [0.750, 0.250, 0.750], [0.750, 0.750, 0.250]]
}

[3]
{
  "formula": "ZnNiPb2",
  "functional": "PBE-GGA",
  "state": "relaxed",
  "sg": "P2/m, No. 10",
  "lattice": [[3.341, 0.000, 0.000], [0.000, 3.261, 0.000], [-0.139, 0.000, 8.252]],
  "species": ["Zn", "Ni", "Pb", "Pb"],
  "fractional_positions": [[0.000, 0.000, 0.000], [0.000, 0.000, 0.500], [0.492, 0.500, 0.295], [0.508, 0.500, 0.705]]
}

Number 1: formation energy 0.205 eV/atom. Number 2: formation energy 0.486 eV/atom. Number 3: formation energy 0.220 eV/atom.